Below is crystalline Mg2ZnCl at its relaxed geometry, with properties calculated at the PBE level.

Calculated total energy (eV per atom): -2.02
Raw formation energy (kJ/mol of atoms): -42

Unit cell a=3.2137 b=3.2137 c=7.6422 alpha=90.00 beta=90.00 gamma=90.00
Space group P4/mmm (No. 123)
Asymmetric unit:
Mg1 0.0000 0.0000 0.2304 (multiplicity 2)
Zn1 0.5000 0.5000 0.0000 (multiplicity 1)
Cl1 0.5000 0.5000 0.5000 (multiplicity 1)

***

Below is crystalline MgZnCl2 at its relaxed geometry, with properties calculated at the PBE level.

Calculated total energy (eV per atom): -2.25
Raw formation energy (kJ/mol of atoms): -59

Unit cell a=3.5070 b=3.5070 c=29.3300 alpha=90.00 beta=90.00 gamma=120.00
Space group R-3m (No. 166, hexagonal axes)
Asymmetric unit:
Mg1 0.0000 0.0000 0.0000 (multiplicity 3)
Zn1 0.0000 0.0000 0.5000 (multiplicity 3)
Cl1 0.0000 0.0000 0.1180 (multiplicity 6)

***

Below is crystalline Mg2ZnCl at its relaxed geometry, with properties calculated at the PBE level.

Calculated total energy (eV per atom): -2.13
Raw formation energy (kJ/mol of atoms): -53

Unit cell a=3.3027 b=3.2347 c=7.6297 alpha=90.00 beta=90.06 gamma=90.00
Space group P2/m (No. 10)
Asymmetric unit:
Mg1 0.0002 0.0000 0.2245 (multiplicity 2)
Zn1 0.5000 0.5000 0.0000 (multiplicity 1)
Cl1 0.0000 0.5000 0.5000 (multiplicity 1)

***

no.,total magnetization (μB/f.u.)
1,0.0
2,0.0
3,0.0